Arrangement 1

10
Lattice="8.073 0.000 0.000 0.000 8.073 0.000 0.000 0.000 2.711" Properties=species:S:1:pos:R:3 comment="KPt2Rh2 PBE relaxed" spacegroup="No. 127" m_tot_mub_per_cell=0.0 pbc="T T T"
K 0.000 0.000 0.000
K 4.037 4.037 0.000
Pt 1.466 2.570 1.355
Pt 2.570 6.607 1.355
Pt 5.503 1.466 1.355
Pt 6.607 5.503 1.355
Rh 0.934 4.970 0.000
Rh 3.103 0.934 0.000
Rh 4.970 7.140 0.000
Rh 7.140 3.103 0.000

Arrangement 2

10
Lattice="4.432 0.000 0.000 0.000 4.432 0.000 0.000 0.000 10.234" Properties=species:S:1:pos:R:3 comment="KPt2Rh2 PBE relaxed" spacegroup="No. 139" m_tot_mub_per_cell=0.0 pbc="T T T"
K 0.000 0.000 0.000
K 2.216 2.216 5.117
Pt 0.000 2.216 2.559
Pt 0.000 2.216 7.676
Pt 2.216 0.000 2.559
Pt 2.216 0.000 7.676
Rh 0.000 0.000 3.924
Rh 0.000 0.000 6.310
Rh 2.216 2.216 1.193
Rh 2.216 2.216 9.041

Which structure wins on stability? arrangement 1 wins.

Arrangement 1

5
Lattice="4.821 0.000 0.000 0.000 4.821 0.000 0.000 0.000 4.821" Properties=species:S:1:pos:R:3 comment="KPt3Rh PBE relaxed" spacegroup="No. 221" m_tot_mub_per_cell=1.7 pbc="T T T"
K 0.000 0.000 0.000
Pt 0.000 0.000 2.410
Pt 0.000 2.410 0.000
Pt 2.410 0.000 0.000
Rh 2.410 2.410 2.410

Arrangement 2

5
Lattice="4.938 0.000 0.000 0.000 4.938 0.000 0.000 0.000 4.938" Properties=species:S:1:pos:R:3 comment="KPt3Rh PBE relaxed" spacegroup="No. 221" m_tot_mub_per_cell=2.2 pbc="T T T"
K 0.000 0.000 0.000
Pt 0.000 2.469 2.469
Pt 2.469 0.000 2.469
Pt 2.469 2.469 0.000
Rh 2.469 2.469 2.469

Which structure wins on stability? arrangement 2 wins.

Arrangement 1

4
Lattice="4.046 0.000 0.000 0.000 4.046 0.000 0.000 0.000 5.378" Properties=species:S:1:pos:R:3 comment="K2RuPt PBE relaxed" spacegroup="No. 123" m_tot_mub_per_cell=2.0 pbc="T T T"
K 0.000 2.023 0.000
K 2.023 0.000 0.000
Ru 0.000 0.000 2.689
Pt 2.023 2.023 2.689

Arrangement 2

16
Lattice="11.959 0.000 0.000 0.000 11.959 0.000 0.000 0.000 4.818" Properties=species:S:1:pos:R:3 comment="K2RuPt PBE relaxed" spacegroup="No. 122" m_tot_mub_per_cell=6.6 pbc="T T T"
K 0.902 8.969 0.602
K 2.990 0.902 4.216
K 2.990 5.077 1.807
K 5.077 8.969 3.012
K 6.882 2.990 3.012
K 8.969 6.882 1.807
K 8.969 11.056 4.216
K 11.056 2.990 0.602
Ru 0.000 0.000 2.409
Ru 0.000 5.979 3.614
Ru 5.979 0.000 1.205
Ru 5.979 5.979 0.000
Pt 0.000 0.000 0.000
Pt 0.000 5.979 1.205
Pt 5.979 0.000 3.614
Pt 5.979 5.979 2.409

Arrangement 3

4
Lattice="2.912 0.000 0.000 0.000 4.065 0.000 0.000 0.000 9.957" Properties=species:S:1:pos:R:3 comment="K2RuPt PBE relaxed" spacegroup="No. 25" m_tot_mub_per_cell=0.2 pbc="T T T"
K 0.000 0.000 0.000
K 1.456 2.032 4.318
Ru 1.456 2.032 7.472
Pt 0.000 0.000 6.723

Which structure wins on stability? arrangement 3 wins.

Arrangement 1

8
Lattice="8.813 0.000 0.000 0.000 2.893 0.000 -0.583 0.000 9.685" Properties=species:S:1:pos:R:3 comment="K2RuPt PBE relaxed" spacegroup="No. 8" m_tot_mub_per_cell=0.0 pbc="T T T"
K 0.000 0.000 0.000
K 1.658 0.000 5.374
K 4.407 1.447 0.000
K 6.064 1.447 5.374
Ru 2.056 1.447 2.387
Ru 6.462 0.000 2.387
Pt 4.083 0.000 3.009
Pt 8.489 1.447 3.009

Arrangement 2

4
Lattice="2.890 0.000 0.000 0.000 5.367 0.000 0.000 0.000 5.620" Properties=species:S:1:pos:R:3 comment="K2RuPt PBE relaxed" spacegroup="No. 47" m_tot_mub_per_cell=1.6 pbc="T T T"
K 0.000 0.000 1.395
K 0.000 0.000 4.225
Ru 1.445 2.684 2.810
Pt 1.445 2.684 0.000

Arrangement 3

12
Lattice="2.903 0.000 0.000 -1.452 2.514 0.000 0.000 0.000 33.338" Properties=species:S:1:pos:R:3 comment="K2RuPt PBE relaxed" spacegroup="No. 166" m_tot_mub_per_cell=0.4 pbc="T T T"
K 0.000 0.000 8.291
K 0.000 0.000 25.046
K 0.000 1.676 13.934
K 0.000 1.676 30.516
K 1.452 0.838 2.821
K 1.452 0.838 19.404
Ru 0.000 0.000 0.000
Ru 0.000 1.676 22.225
Ru 1.452 0.838 11.113
Pt 0.000 0.000 16.669
Pt 0.000 1.676 5.556
Pt 1.452 0.838 27.781

Which structure wins on stability? arrangement 1 wins.